No. 1
## K2ZrSc (PBE)

Data for a relaxed K2ZrSc crystal.

Properties
Energy relative to the elements, meV per atom: 1025
E_tot, Ha/atom: -0.119
Calculated volume, Å³/f.u.: 145
Space group: No. 119

Lattice parameters (Å, degrees): 5.9008 5.9008 5.9008 120.13 120.13 89.78
Fractional positions:
K 0.0000 0.0000 0.0000
K 0.7500 0.2500 0.5000
Zr 0.5000 0.5000 0.0000
Sc 0.2500 0.7500 0.5000

***

No. 2
## K2ZrSc (PBE)

Data for a relaxed K2ZrSc crystal.

Properties
Energy relative to the elements, meV per atom: 1314
E_tot, Ha/atom: -0.109
Calculated volume, Å³/f.u.: 142
Space group: No. 225

Lattice parameters (Å, degrees): 5.8585 5.8585 5.8585 60.00 60.00 60.00
Fractional positions:
K 0.2500 0.2500 0.2500
K 0.7500 0.7500 0.7500
Zr 0.0000 0.0000 0.0000
Sc 0.5000 0.5000 0.5000

***

No. 3
## KZrSc (PBE)

Data for a relaxed KZrSc crystal.

Properties
Energy relative to the elements, meV per atom: 418
E_tot, Ha/atom: -0.180
Calculated volume, Å³/f.u.: 96
Space group: No. 1

Lattice parameters (Å, degrees): 3.2825 6.4775 9.1452 79.46 89.02 89.98
Fractional positions:
K 0.0000 0.0000 0.0000
K 0.4824 0.5097 0.9634
Zr 0.5030 0.6614 0.3717
Zr 0.9924 0.3623 0.5953
Sc 0.5033 0.1729 0.3649
Sc 0.9924 0.8540 0.5995

***

No. 4
## KZrSc (PBE)

Data for a relaxed KZrSc crystal.

Properties
Energy relative to the elements, meV per atom: 807
E_tot, Ha/atom: -0.166
Calculated volume, Å³/f.u.: 111
Space group: No. 129

Lattice parameters (Å, degrees): 3.9175 3.9175 14.5138 90.00 90.00 90.00
Fractional positions:
K 0.2500 0.2500 0.1350
K 0.7500 0.7500 0.8650
Zr 0.2500 0.2500 0.6670
Zr 0.7500 0.7500 0.3330
Sc 0.2500 0.7500 0.5000
Sc 0.7500 0.2500 0.5000

***

No. 5
## KZrSc (PBE)

Data for a relaxed KZrSc crystal.

Properties
Energy relative to the elements, meV per atom: 322
E_tot, Ha/atom: -0.184
Calculated volume, Å³/f.u.: 107
Space group: No. 1

Lattice parameters (Å, degrees): 3.2979 5.5202 12.4740 91.81 97.30 107.00
Fractional positions:
K 0.0000 0.0000 0.0000
K 0.0464 0.4645 0.7289
Zr 0.4192 0.4690 0.4119
Zr 0.6360 0.9954 0.3170
Sc 0.2067 0.9450 0.5198
Sc 0.8485 0.5193 0.2091

***

No. 6
## KZrSc (PBE)

Data for a relaxed KZrSc crystal.

Properties
Energy relative to the elements, meV per atom: 1490
E_tot, Ha/atom: -0.141
Calculated volume, Å³/f.u.: 117
Space group: No. 216

Lattice parameters (Å, degrees): 5.4908 5.4908 5.4908 60.00 60.00 60.00
Fractional positions:
K 0.0000 0.0000 0.0000
Zr 0.5000 0.5000 0.5000
Sc 0.2500 0.2500 0.2500

***

Question: energy relative to the elements of number 5 (KZrSc)?
Answer: 322 meV per atom